Material: Co2SnMoH
Method: DFT, PBE-GGA
State: relaxed

Geometry as POSCAR:
```
Co2SnMoH
1.0
-1.909 3.421 -0.531
-0.969 0.054 3.832
3.229 1.924 0.789
Sn Mo Co H
1 1 2 1
direct
0.500 0.500 0.500
0.000 0.000 0.500
0.500 0.000 0.000
0.000 0.500 0.000
0.000 0.000 0.000
```

## Properties
E: -0.46701 Ry/atom
symmetry: P4/mmm (123)
volume: 60 Å³ per cell
total moment: 3.2 μB per formula unit


Material: TaCoMoH2
Method: DFT, PBE-GGA
State: relaxed

Geometry as POSCAR:
```
TaCoMoH2
1.0
-1.635 -2.323 -2.044
1.456 -3.451 2.757
-2.894 0.330 1.941
H Co Mo Ta
2 1 1 1
direct
0.000 0.000 0.500
0.500 0.000 0.000
0.000 0.500 0.000
0.000 0.000 0.000
0.500 0.500 0.500
```

## Properties
E: -0.49833 Ry/atom
symmetry: P4/mmm (123)
volume: 57 Å³ per cell
total moment: 0.0 μB per formula unit


Material: TaCoMo2H
Method: DFT, PBE-GGA
State: relaxed

Geometry as POSCAR:
```
TaCoMo2H
1.0
-3.945 -1.644 -0.448
1.228 -1.959 -3.622
0.930 -2.719 1.786
Co Mo H Ta
1 2 1 1
direct
0.000 0.000 0.500
0.500 0.000 0.000
0.000 0.500 0.000
0.000 0.000 0.000
0.500 0.500 0.500
```

## Properties
E: -0.64377 Ry/atom
symmetry: P4/mmm (123)
volume: 62 Å³ per cell
total moment: 1.1 μB per formula unit


Material: CoTc2MoH
Method: DFT, PBE-GGA
State: relaxed

Geometry as POSCAR:
```
CoTc2MoH
1.0
3.932 0.000 0.000
0.000 3.932 0.000
0.000 0.000 3.698
Tc H Co Mo
2 1 1 1
direct
0.500 0.000 0.000
0.000 0.500 0.000
0.000 0.000 0.000
0.000 0.000 0.500
0.500 0.500 0.500
```

## Properties
E: -0.61683 Ry/atom
symmetry: P4/mmm (123)
volume: 57 Å³ per cell
total moment: 0.0 μB per formula unit


Material: CoTcMo2H
Method: DFT, PBE-GGA
State: relaxed

Geometry as POSCAR:
```
CoTcMo2H
1.0
3.984 0.000 0.000
0.000 3.984 0.000
0.000 0.000 3.687
Tc H Co Mo
1 1 1 2
direct
0.500 0.500 0.500
0.000 0.000 0.000
0.000 0.000 0.500
0.500 0.000 0.000
0.000 0.500 0.000
```

## Properties
E: -0.62163 Ry/atom
symmetry: P4/mmm (123)
volume: 59 Å³ per cell
total moment: 0.0 μB per formula unit


Material: CoTcMo2H
Method: DFT, PBE-GGA
State: relaxed

Geometry as POSCAR:
```
CoTcMo2H
1.0
3.925 0.000 0.000
0.000 3.925 0.000
0.000 0.000 3.840
H Mo Tc Co
1 2 1 1
direct
0.000 0.000 0.000
0.500 0.000 0.000
0.000 0.500 0.000
0.000 0.000 0.500
0.500 0.500 0.500
```

## Properties
E: -0.61671 Ry/atom
symmetry: P4/mmm (123)
volume: 59 Å³ per cell
total moment: 0.0 μB per formula unit


Material: CoTc2MoH
Method: DFT, PBE-GGA
State: relaxed

Geometry as POSCAR:
```
CoTc2MoH
1.0
-3.542 -0.710 1.314
-1.266 -0.365 -3.611
0.806 -3.829 0.105
Co Tc H Mo
1 2 1 1
direct
0.500 0.500 0.500
0.500 0.000 0.000
0.000 0.500 0.000
0.000 0.000 0.000
0.000 0.000 0.500
```

## Properties
E: -0.61114 Ry/atom
symmetry: P4/mmm (123)
volume: 58 Å³ per cell
total moment: 0.0 μB per formula unit


Material: TiCo2MoH
Method: DFT, PBE-GGA
State: relaxed

Geometry as POSCAR:
```
TiCo2MoH
1.0
3.722 0.000 0.000
0.000 3.722 0.000
0.000 0.000 3.894
Co Ti Mo H
2 1 1 1
direct
0.500 0.000 0.000
0.000 0.500 0.000
0.500 0.500 0.500
0.000 0.000 0.500
0.000 0.000 0.000
```

## Properties
E: -0.53975 Ry/atom
symmetry: P4/mmm (123)
volume: 54 Å³ per cell
total moment: 0.0 μB per formula unit